(1)
Entry from Alexandria: an optimized crystal structure of Cs2PdRhBr6 (GGA-PBE).

Lattice parameters (Å, degrees): 7.5121 7.5121 7.4979 59.94 59.94 90.00
Closest atoms and distances in Å follow each position.
Positions (direct):
Cs: 0.7500 0.2500 0.5000  12 Br 3.75-3.76
Cs: 0.2500 0.7500 0.5000  12 Br 3.75-3.76
Rh: 0.5000 0.5000 0.0000  6 Br 2.59-2.60
Br: 0.2546 0.2546 0.4907  1 Rh 2.60, 1 Pd 2.69
Br: 0.7454 0.7454 0.5093  1 Rh 2.60, 1 Pd 2.69
Br: 0.2560 0.2560 0.0000  1 Rh 2.59, 1 Pd 2.72
Br: 0.7440 0.7440 0.0000  1 Rh 2.59, 1 Pd 2.72
Br: 0.7440 0.2560 0.0000  1 Rh 2.59, 1 Pd 2.72
Br: 0.2560 0.7440 0.0000  1 Rh 2.59, 1 Pd 2.72
Pd: 0.0000 0.0000 0.0000  6 Br 2.69-2.72

Properties
uncorrected formation energy: -859 meV/atom

(2)
Entry from Alexandria: an optimized crystal structure of CaHg2PtS (GGA-PBE).

Lattice parameters (Å, degrees): 6.0197 5.1747 6.0197 90.00 90.00 90.00
Closest atoms and distances in Å follow each position.
Positions (direct):
S: 0.5000 0.5000 0.5000  8 Hg 3.97, 4 Pt 4.26
Ca: 0.0000 0.0000 0.0000  2 Pt 2.59
Hg: 0.0000 0.0000 0.5000  2 Ca 3.01
Hg: 0.5000 0.0000 0.0000  2 Ca 3.01
Pt: 0.0000 0.5000 0.0000  2 Ca 2.59

Properties
uncorrected formation energy: 724 meV/atom

(3)
Entry from Alexandria: an optimized crystal structure of H3Rh (GGA-PBE).

Lattice parameters (Å, degrees): 2.6521 2.8538 4.4991 108.49 107.14 90.00
Closest atoms and distances in Å follow each position.
Positions (direct):
H: 0.3577 0.7634 0.7155  2 Rh 1.77, 2 H 1.80-1.87
H: 0.5000 0.3916 0.0000  2 Rh 1.80, 4 H 1.80-1.87
H: 0.6423 0.0479 0.2845  2 Rh 1.77, 2 H 1.80-1.87
Rh: 0.0000 0.9638 0.0000  6 H 1.77-1.80

Properties
relative energy among the computed polymorphs: 0.45 eV/f.u.

(4)
Entry from Alexandria: an optimized crystal structure of HoCo4B4 (GGA-PBE).

Lattice parameters (Å, degrees): 4.9988 4.9988 6.9644 90.00 90.00 90.00
Closest atoms and distances in Å follow each position.
Positions (direct):
Ho: 0.0000 0.0000 0.0000  12 Co 2.82-2.96, 12 B 2.87
Ho: 0.5000 0.5000 0.5000  12 Co 2.82-2.96, 12 B 2.87
Co: 0.2535 0.5000 0.8639  5 B 2.05-2.10
Co: 0.7465 0.5000 0.8639  5 B 2.05-2.10
Co: 0.5000 0.7465 0.1361  5 B 2.05-2.10
Co: 0.5000 0.2535 0.1361  5 B 2.05-2.10
Co: 0.0000 0.7535 0.3639  5 B 2.05-2.10
Co: 0.0000 0.2465 0.3639  5 B 2.05-2.10
Co: 0.2465 0.0000 0.6361  5 B 2.05-2.10
Co: 0.7535 0.0000 0.6361  5 B 2.05-2.10
B: 0.5000 0.8248 0.8405  1 B 1.75
B: 0.5000 0.1752 0.8405  1 B 1.75
B: 0.8248 0.5000 0.1595  1 B 1.75
B: 0.1752 0.5000 0.1595  1 B 1.75
B: 0.3248 0.0000 0.3405  1 B 1.75
B: 0.6752 0.0000 0.3405  1 B 1.75
B: 0.0000 0.3248 0.6595  1 B 1.75
B: 0.0000 0.6752 0.6595  1 B 1.75

Properties
relative energy among the computed polymorphs: 0.06 eV/f.u.
ΔE_f: -4.61 eV/f.u.

(5)
Entry from Alexandria: an optimized crystal structure of BaCaI2O (GGA-PBE).

Lattice parameters (Å, degrees): 6.7393 6.7393 4.6027 90.00 90.00 90.00
Closest atoms and distances in Å follow each position.
Positions (direct):
I: 0.0000 0.5000 0.0000  2 Ba 3.37
I: 0.5000 0.0000 0.0000  2 Ba 3.37
Ca: 0.5000 0.5000 0.5000  8 I 4.08
Ba: 0.0000 0.0000 0.0000  2 O 2.30
O: 0.0000 0.0000 0.5000  2 Ba 2.30

Properties
uncorrected formation energy: -1148 meV/atom
relative energy among the computed polymorphs: 2.54 eV/f.u.

(6)
Entry from Alexandria: an optimized crystal structure of RbBaNa (GGA-PBE).

Lattice parameters (Å, degrees): 4.4944 4.5009 21.9461 89.93 84.12 60.05
Closest atoms and distances in Å follow each position.
Positions (direct):
Rb: 0.6752 0.9890 0.8211  3 Na 4.36, 7 Rb 4.49-4.59
Rb: 0.8148 0.9200 0.6108  3 Na 4.36, 7 Rb 4.49-4.59
Ba: 0.1365 0.7578 0.1304  3 Na 4.15, 9 Ba 4.49-4.55
Ba: 0.3535 0.1514 0.3015  3 Na 4.15, 9 Ba 4.49-4.55
Na: 0.9016 0.3754 0.9819  3 Ba 4.15, 3 Rb 4.36, 6 Na 4.49-4.50
Na: 0.5884 0.5336 0.4500  3 Ba 4.15, 3 Rb 4.36, 6 Na 4.49-4.50

Properties
relative energy among the computed polymorphs: 0.11 eV/f.u.
ΔE_f: 0.19 eV/f.u.

(7)
Entry from Alexandria: an optimized crystal structure of ZrTlSi2 (GGA-PBE).

Lattice parameters (Å, degrees): 4.8583 4.8583 4.8583 60.00 60.00 60.00
Closest atoms and distances in Å follow each position.
Positions (direct):
Tl: 0.5000 0.5000 0.5000  8 Si 2.98
Si: 0.2500 0.2500 0.2500  4 Tl 2.98, 4 Zr 2.98
Si: 0.7500 0.7500 0.7500  4 Tl 2.98, 4 Zr 2.98
Zr: 0.0000 0.0000 0.0000  8 Si 2.98

Properties
uncorrected formation energy: 387 meV/atom
relative energy among the computed polymorphs: 1.94 eV/f.u.

(8)
Entry from Alexandria: an optimized crystal structure of Dy12Mn3H5 (GGA-PBE).

Lattice parameters (Å, degrees): 13.0647 13.0647 13.0647 109.47 109.47 109.47
Closest atoms and distances in Å follow each position.
Positions (direct):
H: 0.1250 0.3750 0.2500  4 Dy 2.18
H: 0.0000 0.5000 0.0000  6 Dy 2.56
H: 0.0000 0.0000 0.0000  6 Dy 2.56
H: 0.3750 0.2500 0.1250  4 Dy 2.18
H: 0.5000 0.0000 0.5000  6 Dy 2.56
H: 0.5000 0.5000 0.0000  6 Dy 2.56
H: 0.1250 0.7500 0.3750  4 Dy 2.18
H: 0.7500 0.1250 0.8750  4 Dy 2.18
H: 0.7500 0.6250 0.3750  4 Dy 2.18
H: 0.3750 0.1250 0.7500  4 Dy 2.18
H: 0.6250 0.8750 0.2500  4 Dy 2.18
H: 0.5000 0.5000 0.5000  6 Dy 2.56
H: 0.5000 0.0000 0.0000  6 Dy 2.56
H: 0.0000 0.0000 0.5000  6 Dy 2.56
H: 0.2500 0.3750 0.6250  4 Dy 2.18
H: 0.2500 0.8750 0.1250  4 Dy 2.18
H: 0.0000 0.5000 0.5000  6 Dy 2.56
H: 0.8750 0.2500 0.6250  4 Dy 2.18
H: 0.6250 0.7500 0.8750  4 Dy 2.18
H: 0.8750 0.6250 0.7500  4 Dy 2.18
Mn: 0.7500 0.3750 0.1250  8 Dy 2.93-2.96
Mn: 0.8750 0.7500 0.1250  8 Dy 2.93-2.96
Mn: 0.3750 0.7500 0.6250  8 Dy 2.93-2.96
Mn: 0.2500 0.1250 0.3750  8 Dy 2.93-2.96
Mn: 0.8750 0.1250 0.2500  8 Dy 2.93-2.96
Mn: 0.3750 0.6250 0.2500  8 Dy 2.93-2.96
Mn: 0.6250 0.3750 0.7500  8 Dy 2.93-2.96
Mn: 0.1250 0.8750 0.7500  8 Dy 2.93-2.96
Mn: 0.7500 0.8750 0.6250  8 Dy 2.93-2.96
Mn: 0.6250 0.2500 0.3750  8 Dy 2.93-2.96
Mn: 0.1250 0.2500 0.8750  8 Dy 2.93-2.96
Mn: 0.2500 0.6250 0.8750  8 Dy 2.93-2.96
Dy: 0.7145 0.1215 0.0254  1 H 2.18
Dy: 0.3110 0.5254 0.4039  1 H 2.18
Dy: 0.9746 0.3785 0.2855  1 H 2.18
Dy: 0.5254 0.2145 0.1215  1 H 2.18
Dy: 0.5929 0.7145 0.6890  1 H 2.18
Dy: 0.9746 0.5961 0.1890  1 H 2.18
Dy: 0.3110 0.7855 0.4071  1 H 2.18
Dy: 0.0961 0.9071 0.1215  1 H 2.18
Dy: 0.5961 0.9746 0.6890  1 H 2.18
Dy: 0.7145 0.5929 0.1890  1 H 2.18
Dy: 0.7855 0.4746 0.3785  1 H 2.18
Dy: 0.8110 0.9039 0.0254  1 H 2.18
Dy: 0.1215 0.7145 0.5254  1 H 2.18
Dy: 0.3785 0.4039 0.0929  1 H 2.18
Dy: 0.0929 0.9039 0.3785  1 H 2.18
Dy: 0.4071 0.1215 0.5961  1 H 2.18
Dy: 0.0929 0.1890 0.2145  1 H 2.18
Dy: 0.4746 0.6890 0.0961  1 H 2.18
Dy: 0.8110 0.9071 0.2855  1 H 2.18
Dy: 0.1215 0.4071 0.0961  1 H 2.18
Dy: 0.3785 0.9746 0.7855  1 H 2.18
Dy: 0.5961 0.6215 0.4071  1 H 2.18
Dy: 0.9039 0.8110 0.5254  1 H 2.18
Dy: 0.7855 0.3110 0.9071  1 H 2.18
Dy: 0.4039 0.3785 0.5929  1 H 2.18
Dy: 0.0961 0.1890 0.4746  1 H 2.18
Dy: 0.2145 0.6890 0.0929  1 H 2.18
Dy: 0.1890 0.0929 0.7145  1 H 2.18
Dy: 0.6215 0.0254 0.2145  1 H 2.18
Dy: 0.8785 0.5929 0.9039  1 H 2.18
Dy: 0.5254 0.3110 0.9039  1 H 2.18
Dy: 0.5929 0.8785 0.4039  1 H 2.18
Dy: 0.9071 0.8110 0.7855  1 H 2.18
Dy: 0.9071 0.0961 0.6215  1 H 2.18
Dy: 0.8785 0.2855 0.4746  1 H 2.18
Dy: 0.1890 0.0961 0.9746  1 H 2.18
Dy: 0.6215 0.5961 0.9071  1 H 2.18
Dy: 0.4039 0.0254 0.3110  1 H 2.18
Dy: 0.2855 0.4071 0.8110  1 H 2.18
Dy: 0.2145 0.5254 0.6215  1 H 2.18
Dy: 0.9039 0.0929 0.8785  1 H 2.18
Dy: 0.6890 0.2145 0.5929  1 H 2.18
Dy: 0.4746 0.7855 0.8785  1 H 2.18
Dy: 0.0254 0.4039 0.8110  1 H 2.18
Dy: 0.4071 0.2855 0.3110  1 H 2.18
Dy: 0.0254 0.6215 0.7145  1 H 2.18
Dy: 0.6890 0.4746 0.5961  1 H 2.18
Dy: 0.2855 0.8785 0.9746  1 H 2.18

Properties
E: -5.0237 eV per atom

(9)
Entry from Alexandria: an optimized crystal structure of Ca8As3SI4 (GGA-PBE).

Lattice parameters (Å, degrees): 8.6868 8.9652 8.6870 118.99 120.00 90.00
Closest atoms and distances in Å follow each position.
Positions (direct):
Ca: 0.2325 0.6953 0.9629  2 As 2.89, 1 S 2.91
Ca: 0.2326 0.6954 0.4651  2 As 2.89, 1 S 2.91
Ca: 0.2676 0.3028 0.5352  3 As 2.90
Ca: 0.7304 0.6953 0.9629  2 As 2.89, 1 S 2.91
Ca: 0.2696 0.3047 0.0371  2 As 2.89, 1 S 2.91
Ca: 0.7324 0.6972 0.4648  3 As 2.90
Ca: 0.7674 0.3046 0.5349  2 As 2.89, 1 S 2.91
Ca: 0.7675 0.3047 0.0371  2 As 2.89, 1 S 2.91
As: 0.5000 0.5000 0.0000  6 Ca 2.89-2.90
As: 0.5000 0.5000 0.5000  6 Ca 2.89-2.90
As: 0.0000 0.5000 0.5000  6 Ca 2.89-2.90
S: 0.0000 0.5000 0.0000  6 Ca 2.91
I: 0.5000 0.0000 0.0000  6 Ca 3.37
I: 0.5000 0.0000 0.5000  6 Ca 3.37-3.38
I: 0.0000 0.0000 0.0000  6 Ca 3.37-3.38
I: 0.0000 0.0000 0.5000  6 Ca 3.37-3.38

Properties
uncorrected formation energy: -1450 meV/atom

(10)
Entry from Alexandria: an optimized crystal structure of NiAgOs2 (GGA-PBE).

Lattice parameters (Å, degrees): 2.6852 2.6852 9.2705 90.00 90.00 117.98
Closest atoms and distances in Å follow each position.
Positions (direct):
Ag: 0.0000 0.0000 0.5135  2 Ni 2.68, 6 Ag 2.69-2.77, 2 Os 2.94
Ni: 0.5000 0.5000 0.7612  2 Os 2.54, 2 Ag 2.68, 6 Ni 2.69-2.77
Os: 0.0000 0.0000 0.9911  2 Ni 2.54, 8 Os 2.65-2.77
Os: 0.5000 0.5000 0.2343  8 Os 2.65-2.77, 2 Ag 2.94

Properties
relative energy among the computed polymorphs: 0.99 eV/f.u.
ΔE_f: 2.18 eV/f.u.

(11)
Entry from Alexandria: an optimized crystal structure of Nd3Eu (GGA-PBE).

Lattice parameters (Å, degrees): 3.7435 6.5125 7.0786 117.39 105.33 90.00
Closest atoms and distances in Å follow each position.
Positions (direct):
Eu: 0.0000 0.9984 0.0000  10 Nd 3.66-3.77, 2 Eu 3.74
Nd: 0.2443 0.5780 0.4887  9 Nd 3.65-3.76, 3 Eu 3.66-3.75
Nd: 0.5000 0.5009 0.0000  8 Nd 3.65-3.76, 4 Eu 3.74-3.77
Nd: 0.7557 0.0893 0.5113  9 Nd 3.65-3.76, 3 Eu 3.66-3.75

Properties
relative energy among the computed polymorphs: 0.00 eV/f.u.
ΔE_f: 0.22 eV/f.u.

(12)
Entry from Alexandria: an optimized crystal structure of TbSm4Ho2Sc (GGA-PBE).

Lattice parameters (Å, degrees): 5.0472 5.0356 11.1316 63.10 90.00 90.00
Closest atoms and distances in Å follow each position.
Positions (direct):
Tb: 0.5000 0.5000 0.0000  4 Ho 3.56, 8 Sm 3.57-3.58
Sm: 0.0000 0.7555 0.7446  2 Sc 3.50, 4 Ho 3.50-3.57, 4 Sm 3.56-3.57, 2 Tb 3.58
Sm: 0.0000 0.2446 0.2554  2 Sc 3.50, 4 Ho 3.50-3.57, 4 Sm 3.56-3.57, 2 Tb 3.58
Sm: 0.5000 0.7447 0.2552  4 Ho 3.50-3.58, 2 Sc 3.50, 4 Sm 3.56-3.57, 2 Tb 3.57
Sm: 0.5000 0.2553 0.7448  4 Ho 3.50-3.58, 2 Sc 3.50, 4 Sm 3.56-3.57, 2 Tb 3.57
Ho: 0.0000 0.0000 0.0000  4 Tb 3.56, 8 Sm 3.57-3.58
Ho: 0.5000 0.0000 0.5000  8 Sm 3.50, 4 Sc 3.56
Sc: 0.0000 0.5000 0.5000  8 Sm 3.50, 4 Ho 3.56

Properties
ΔE_f: 0.23 eV/f.u.

(13)
Entry from Alexandria: an optimized crystal structure of BaSnAs (GGA-PBE).

Lattice parameters (Å, degrees): 4.8220 4.9067 4.9067 120.00 90.00 90.00
Closest atoms and distances in Å follow each position.
Positions (direct):
As: 0.1670 0.3333 0.6667  3 Sn 2.83
Ba: 0.6666 0.6667 0.3333  6 As 3.72, 6 Sn 3.72
Sn: 0.1664 0.0000 0.0000  3 As 2.83

Properties
ΔE_f: -2.01 eV/f.u.

(14)
Entry from Alexandria: an optimized crystal structure of SrCaTe2 (GGA-PBE).

Lattice parameters (Å, degrees): 5.6771 5.6771 5.6771 60.00 60.00 60.00
Closest atoms and distances in Å follow each position.
Positions (direct):
Sr: 0.7500 0.7500 0.7500  4 Ca 3.48, 4 Te 3.48
Ca: 0.5000 0.5000 0.5000  4 Sr 3.48, 4 Te 3.48
Te: 0.0000 0.0000 0.0000  4 Te 3.48, 4 Sr 3.48
Te: 0.2500 0.2500 0.2500  4 Ca 3.48, 4 Te 3.48

Properties
uncorrected formation energy: -716 meV/atom
relative energy among the computed polymorphs: 3.91 eV/f.u.

(15)
Entry from Alexandria: an optimized crystal structure of CaP2Br (GGA-PBE).

Lattice parameters (Å, degrees): 5.1138 5.1138 5.3240 90.00 90.00 90.00
Closest atoms and distances in Å follow each position.
Positions (direct):
Br: 0.5000 0.5000 0.2500  2 Ca 2.66
Ca: 0.5000 0.5000 0.7500  2 Br 2.66
P: 0.0000 0.0000 0.0646  1 P 1.97
P: 0.0000 0.0000 0.4354  1 P 1.97

Properties
uncorrected formation energy: -207 meV/atom
relative energy among the computed polymorphs: 2.50 eV/f.u.

(16)
Entry from Alexandria: an optimized crystal structure of Pm4YPd4 (GGA-PBE).

Lattice parameters (Å, degrees): 5.9733 9.0376 9.0376 90.00 90.00 90.00
Closest atoms and distances in Å follow each position.
Positions (direct):
Pm: 0.4075 0.3112 0.9116  5 Pd 2.87-3.06
Pm: 0.9075 0.5884 0.8112  5 Pd 2.87-3.06
Pm: 0.4075 0.6888 0.0884  5 Pd 2.87-3.06
Pm: 0.0925 0.1888 0.5884  5 Pd 2.87-3.06
Pm: 0.5925 0.9116 0.6888  5 Pd 2.87-3.06
Pm: 0.0925 0.8112 0.4116  5 Pd 2.87-3.06
Pm: 0.9075 0.4116 0.1888  5 Pd 2.87-3.06
Pm: 0.5925 0.0884 0.3112  5 Pd 2.87-3.06
Y: 0.0000 0.0000 0.0000  4 Pd 2.80
Y: 0.5000 0.5000 0.5000  4 Pd 2.80
Pd: 0.5998 0.7786 0.3807  1 Y 2.80, 5 Pm 2.87-3.06, 1 Pd 3.01
Pd: 0.5998 0.2214 0.6193  1 Y 2.80, 5 Pm 2.87-3.06, 1 Pd 3.01
Pd: 0.0998 0.8807 0.7214  1 Y 2.80, 5 Pm 2.87-3.06, 1 Pd 3.01
Pd: 0.9002 0.2786 0.8807  1 Y 2.80, 5 Pm 2.87-3.06, 1 Pd 3.01
Pd: 0.9002 0.7214 0.1193  1 Y 2.80, 5 Pm 2.87-3.06, 1 Pd 3.01
Pd: 0.4002 0.3807 0.2214  1 Y 2.80, 5 Pm 2.87-3.06, 1 Pd 3.01
Pd: 0.4002 0.6193 0.7786  1 Y 2.80, 5 Pm 2.87-3.06, 1 Pd 3.01
Pd: 0.0998 0.1193 0.2786  1 Y 2.80, 5 Pm 2.87-3.06, 1 Pd 3.01

Properties
ΔE_f: -5.51 eV/f.u.

(17)
Entry from Alexandria: an optimized crystal structure of AcCdPdPt (GGA-PBE).

Lattice parameters (Å, degrees): 5.0646 5.0646 5.0646 60.00 60.00 60.00
Closest atoms and distances in Å follow each position.
Positions (direct):
Ac: 0.5000 0.5000 0.5000  4 Pd 3.10, 4 Pt 3.10
Pd: 0.7500 0.7500 0.7500  4 Ac 3.10, 4 Cd 3.10
Pt: 0.2500 0.2500 0.2500  4 Ac 3.10, 4 Cd 3.10
Cd: 0.0000 0.0000 0.0000  4 Pt 3.10, 4 Pd 3.10

Properties
relative energy among the computed polymorphs: 0.49 eV/f.u.
ΔE_f: -2.55 eV/f.u.

(18)
Entry from Alexandria: an optimized crystal structure of NdAl2CdAu5 (GGA-PBE).

Lattice parameters (Å, degrees): 4.8725 4.8725 7.9586 90.00 90.00 90.00
Closest atoms and distances in Å follow each position.
Positions (direct):
Nd: 0.0000 0.0000 0.5000  12 Au 3.10-3.45
Al: 0.5000 0.5000 0.1608  5 Au 2.56-2.70, 1 Al 2.56
Al: 0.5000 0.5000 0.8392  5 Au 2.56-2.70, 1 Al 2.56
Cd: 0.0000 0.0000 0.0000  8 Au 3.19
Au: 0.0000 0.5000 0.2583  2 Al 2.56
Au: 0.5000 0.0000 0.2583  2 Al 2.56
Au: 0.0000 0.5000 0.7417  2 Al 2.56
Au: 0.5000 0.0000 0.7417  2 Al 2.56
Au: 0.5000 0.5000 0.5000  2 Al 2.70

Properties
ΔE_f: -3.30 eV/f.u.

(19)
Entry from Alexandria: an optimized crystal structure of Er2AlPd (GGA-PBE).

Lattice parameters (Å, degrees): 5.0111 5.0111 5.0111 60.00 60.00 60.00
Closest atoms and distances in Å follow each position.
Positions (direct):
Al: 0.0000 0.0000 0.0000  8 Er 3.07
Pd: 0.5000 0.5000 0.5000  8 Er 3.07
Er: 0.2500 0.2500 0.2500  4 Pd 3.07, 4 Al 3.07
Er: 0.7500 0.7500 0.7500  4 Al 3.07, 4 Pd 3.07

Properties
relative energy among the computed polymorphs: 0.25 eV/f.u.
ΔE_f: -2.40 eV/f.u.

(20)
Entry from Alexandria: an optimized crystal structure of Sm2YHg6 (GGA-PBE).

Lattice parameters (Å, degrees): 3.4777 8.6411 8.6411 120.00 90.00 90.00
Closest atoms and distances in Å follow each position.
Positions (direct):
Sm: 0.0000 0.3333 0.6667  12 Hg 3.37, 2 Sm 3.48
Sm: 0.0000 0.6667 0.3333  12 Hg 3.37, 2 Sm 3.48
Y: 0.0000 0.0000 0.0000  12 Hg 3.35, 2 Y 3.48
Hg: 0.5000 0.3320 0.3320  3 Hg 2.87-2.90
Hg: 0.5000 0.6680 0.6680  3 Hg 2.87-2.90
Hg: 0.5000 0.0000 0.6680  3 Hg 2.87-2.90
Hg: 0.5000 0.6680 0.0000  3 Hg 2.87-2.90
Hg: 0.5000 0.3320 0.0000  3 Hg 2.87-2.90
Hg: 0.5000 0.0000 0.3320  3 Hg 2.87-2.90

Properties
ΔE_f: -3.72 eV/f.u.